# LiGeI2 (SCAN, single point on PBEsol structure)
# - E_form (uncorrected) (kJ/mol of atoms) = -23
# - crystal system = tetragonal
data_LiGeI2
_cell_length_a 5.842
_cell_length_b 5.842
_cell_length_c 16.343
_cell_angle_alpha 90.00
_cell_angle_beta 90.00
_cell_angle_gamma 90.00
_space_group_name_H-M_alt 'I -4 2 d'
_space_group_IT_number 122
_space_group_name_Hall 'I -4 2bw'
loop_
_atom_site_label
_atom_site_type_symbol
_atom_site_fract_x
_atom_site_fract_y
_atom_site_fract_z
Li1 Li 0.000 0.000 0.000
Ge1 Ge 0.000 0.000 0.500
I1 I 0.238 0.250 0.125


# BaNb2InHg (SCAN, single point on PBEsol structure)
# - crystal system = tetragonal
# - formation enthalpy at 0 K (eV/atom) = 1.0361
data_BaNb2InHg
_cell_length_a 5.331
_cell_length_b 5.331
_cell_length_c 5.226
_cell_angle_alpha 90.00
_cell_angle_beta 90.00
_cell_angle_gamma 90.00
_space_group_name_H-M_alt 'P 4/m m m'
_space_group_IT_number 123
_space_group_name_Hall '-P 4 2'
loop_
_atom_site_label
_atom_site_type_symbol
_atom_site_fract_x
_atom_site_fract_y
_atom_site_fract_z
Ba1 Ba 0.000 0.000 0.000
Nb1 Nb 0.000 0.500 0.500
In1 In 0.500 0.500 0.000
Hg1 Hg 0.500 0.500 0.500


# SrOsSe2 (SCAN, single point on PBEsol structure)
# - E_form (uncorrected) (kJ/mol of atoms) = -28
# - crystal system = orthorhombic
# - excess energy over the best structure of this formula in the dataset (eV/atom) = 0.251
data_SrOsSe2
_cell_length_a 3.512
_cell_length_b 3.754
_cell_length_c 12.823
_cell_angle_alpha 90.00
_cell_angle_beta 90.00
_cell_angle_gamma 90.00
_space_group_name_H-M_alt 'I m m 2'
_space_group_IT_number 44
loop_
_space_group_symop_operation_xyz
'x,y,z'
'-x,-y,z'
'-x,y,z'
'x,-y,z'
'x+1/2,y+1/2,z+1/2'
'-x+1/2,-y+1/2,z+1/2'
'-x+1/2,y+1/2,z+1/2'
'x+1/2,-y+1/2,z+1/2'
loop_
_atom_site_label
_atom_site_type_symbol
_atom_site_fract_x
_atom_site_fract_y
_atom_site_fract_z
Sr1 Sr 0.000 0.000 0.000
Os1 Os 0.000 0.500 0.750
Se1 Se 0.000 0.000 0.381
Se2 Se 0.000 0.500 0.181


# Mn2CuIr (SCAN, single point on PBEsol structure)
# - crystal system = orthorhombic
# - formation enthalpy at 0 K (eV/atom) = 0.1864
data_Mn2CuIr
_cell_length_a 2.706
_cell_length_b 4.315
_cell_length_c 8.355
_cell_angle_alpha 90.00
_cell_angle_beta 90.00
_cell_angle_gamma 90.00
_space_group_name_H-M_alt 'C m m 2'
_space_group_IT_number 35
loop_
_space_group_symop_operation_xyz
'x,y,z'
'-x,-y,z'
'-x,y,z'
'x,-y,z'
'x+1/2,y+1/2,z'
'-x+1/2,-y+1/2,z'
'-x+1/2,y+1/2,z'
'x+1/2,-y+1/2,z'
loop_
_atom_site_label
_atom_site_type_symbol
_atom_site_fract_x
_atom_site_fract_y
_atom_site_fract_z
Mn1 Mn 0.000 0.000 0.000
Mn2 Mn 0.000 0.500 0.225
Cu1 Cu 0.000 0.000 0.473
Ir1 Ir 0.000 0.500 0.743


# MgSiRu2 (SCAN, single point on PBEsol structure)
# - E_form (uncorrected) (kJ/mol of atoms) = -44
# - crystal system = tetragonal
data_MgSiRu2
_cell_length_a 2.954
_cell_length_b 2.954
_cell_length_c 6.212
_cell_angle_alpha 90.00
_cell_angle_beta 90.00
_cell_angle_gamma 90.00
_space_group_name_H-M_alt 'P 4/m m m'
_space_group_IT_number 123
_space_group_name_Hall '-P 4 2'
loop_
_atom_site_label
_atom_site_type_symbol
_atom_site_fract_x
_atom_site_fract_y
_atom_site_fract_z
Mg1 Mg 0.000 0.000 0.000
Si1 Si 0.000 0.000 0.500
Ru1 Ru 0.500 0.500 0.282


# BaBe3Bi (SCAN, single point on PBEsol structure)
# - crystal system = cubic
# - formation enthalpy at 0 K (eV/atom) = 0.9508
data_BaBe3Bi
_cell_length_a 5.053
_cell_length_b 5.053
_cell_length_c 5.053
_cell_angle_alpha 90.00
_cell_angle_beta 90.00
_cell_angle_gamma 90.00
_space_group_name_H-M_alt 'P m -3 m'
_space_group_IT_number 221
_space_group_name_Hall '-P 4 2 3'
loop_
_atom_site_label
_atom_site_type_symbol
_atom_site_fract_x
_atom_site_fract_y
_atom_site_fract_z
Ba1 Ba 0.000 0.000 0.000
Be1 Be 0.000 0.500 0.500
Bi1 Bi 0.500 0.500 0.500


# K3RbAu (SCAN, single point on PBEsol structure)
# - crystal system = cubic
# - formation enthalpy at 0 K (eV/atom) = -0.1474
# - excess energy over the best structure of this formula in the dataset (eV/atom) = 0.027
data_K3RbAu
_cell_length_a 6.536
_cell_length_b 6.536
_cell_length_c 6.536
_cell_angle_alpha 90.00
_cell_angle_beta 90.00
_cell_angle_gamma 90.00
_space_group_name_H-M_alt 'P m -3 m'
_space_group_IT_number 221
_space_group_name_Hall '-P 4 2 3'
loop_
_atom_site_label
_atom_site_type_symbol
_atom_site_fract_x
_atom_site_fract_y
_atom_site_fract_z
K1 K 0.000 0.000 0.500
Rb1 Rb 0.500 0.500 0.500
Au1 Au 0.000 0.000 0.000


# KScCu2 (SCAN, single point on PBEsol structure)
# - crystal system = tetragonal
# - formation enthalpy at 0 K (eV/atom) = 0.3765
# - excess energy over the best structure of this formula in the dataset (eV/atom) = 0.290
data_KScCu2
_cell_length_a 5.075
_cell_length_b 5.075
_cell_length_c 3.049
_cell_angle_alpha 90.00
_cell_angle_beta 90.00
_cell_angle_gamma 90.00
_space_group_name_H-M_alt 'P 4/m m m'
_space_group_IT_number 123
_space_group_name_Hall '-P 4 2'
loop_
_atom_site_label
_atom_site_type_symbol
_atom_site_fract_x
_atom_site_fract_y
_atom_site_fract_z
K1 K 0.000 0.000 0.000
Sc1 Sc 0.500 0.500 0.000
Cu1 Cu 0.000 0.500 0.500


# SrSiNi2 (SCAN, single point on PBEsol structure)
# - E_form (uncorrected) (kJ/mol of atoms) = -47
# - crystal system = trigonal
data_SrSiNi2
_cell_length_a 3.9798
_cell_length_b 3.9798
_cell_length_c 15.6610
_cell_angle_alpha 90.00
_cell_angle_beta 90.00
_cell_angle_gamma 120.00
_space_group_name_H-M_alt 'R -3 m'
_space_group_IT_number 166
_space_group_name_Hall '-R 3 2"'
loop_
_atom_site_label
_atom_site_type_symbol
_atom_site_fract_x
_atom_site_fract_y
_atom_site_fract_z
Sr1 Sr 0.0000 0.0000 0.0000
Si1 Si 0.0000 0.0000 0.5000
Ni1 Ni 0.0000 0.0000 0.1899


# Nd2Ti12Cu9O36 (SCAN, single point on PBEsol structure)
# - E_form (uncorrected) (kJ/mol of atoms) = -252
# - crystal system = trigonal
data_Nd2Ti12Cu9O36
_cell_length_a 10.4184
_cell_length_b 10.4184
_cell_length_c 6.4037
_cell_angle_alpha 90.00
_cell_angle_beta 90.00
_cell_angle_gamma 120.00
_space_group_name_H-M_alt 'P -3'
_space_group_IT_number 147
loop_
_space_group_symop_operation_xyz
'x,y,z'
'-x,-y,-z'
'-y,x-y,z'
'y,-x+y,-z'
'-x+y,-x,z'
'x-y,x,-z'
loop_
_atom_site_label
_atom_site_type_symbol
_atom_site_fract_x
_atom_site_fract_y
_atom_site_fract_z
Nd1 Nd 0.3333 0.6667 0.3280
Ti1 Ti 0.0000 0.0000 0.5000
Ti2 Ti 0.0000 0.5000 0.5000
Ti3 Ti 0.1572 0.8393 0.1620
Ti4 Ti 0.3333 0.6667 0.8390
Cu1 Cu 0.0000 0.5000 0.0000
Cu2 Cu 0.1682 0.3366 0.6607
O1 O 0.0153 0.8510 0.3305
O2 O 0.0454 0.7761 0.9090
O3 O 0.0731 0.6249 0.2487
O4 O 0.1165 0.4087 0.4127
O5 O 0.1756 0.6499 0.6472
O6 O 0.1910 0.5077 0.0136


# BaRe2Br (SCAN, single point on PBEsol structure)
# - E_form (uncorrected) (kJ/mol of atoms) = 22
# - crystal system = monoclinic
# - excess energy over the best structure of this formula in the dataset (eV/atom) = 0.000
data_BaRe2Br
_cell_length_a 7.530
_cell_length_b 3.574
_cell_length_c 8.114
_cell_angle_alpha 90.00
_cell_angle_beta 110.07
_cell_angle_gamma 90.00
_space_group_name_H-M_alt 'C 1 m 1'
_space_group_IT_number 8
loop_
_space_group_symop_operation_xyz
'x,y,z'
'x,-y,z'
'x+1/2,y+1/2,z'
'x+1/2,-y+1/2,z'
loop_
_atom_site_label
_atom_site_type_symbol
_atom_site_fract_x
_atom_site_fract_y
_atom_site_fract_z
Ba1 Ba 0.000 0.000 0.000
Re1 Re 0.185 0.000 0.705
Re2 Re 0.460 0.000 0.599
Br1 Br 0.313 0.500 0.314


# KLa4As (SCAN, single point on PBEsol structure)
# - crystal system = cubic
# - formation enthalpy at 0 K (eV/atom) = 0.3038
data_KLa4As
_cell_length_a 9.211
_cell_length_b 9.211
_cell_length_c 9.211
_cell_angle_alpha 90.00
_cell_angle_beta 90.00
_cell_angle_gamma 90.00
_space_group_name_H-M_alt 'F -4 3 m'
_space_group_IT_number 216
_space_group_name_Hall 'F -4 2 3'
loop_
_atom_site_label
_atom_site_type_symbol
_atom_site_fract_x
_atom_site_fract_y
_atom_site_fract_z
K1 K 0.000 0.000 0.000
La1 La 0.120 0.120 0.380
As1 As 0.250 0.250 0.750


# Li3Ti2V2O8 (SCAN, single point on PBEsol structure)
# - E_form (uncorrected) (kJ/mol of atoms) = -268
# - crystal system = monoclinic
data_Li3Ti2V2O8
_cell_length_a 9.968
_cell_length_b 5.860
_cell_length_c 5.758
_cell_angle_alpha 90.00
_cell_angle_beta 124.62
_cell_angle_gamma 90.00
_space_group_name_H-M_alt 'C 1 2/m 1'
_space_group_IT_number 12
loop_
_space_group_symop_operation_xyz
'x,y,z'
'-x,-y,-z'
'-x,y,-z'
'x,-y,z'
'x+1/2,y+1/2,z'
'-x+1/2,-y+1/2,-z'
'-x+1/2,y+1/2,-z'
'x+1/2,-y+1/2,z'
loop_
_atom_site_label
_atom_site_type_symbol
_atom_site_fract_x
_atom_site_fract_y
_atom_site_fract_z
Li1 Li 0.000 0.000 0.000
Li2 Li 0.250 0.250 0.000
Ti1 Ti 0.250 0.250 0.500
V1 V 0.000 0.500 0.000
V2 V 0.000 0.500 0.500
O1 O 0.006 0.267 0.252
O2 O 0.241 0.500 0.255
O3 O 0.248 0.500 0.738


# BeCd2InIr (SCAN, single point on PBEsol structure)
# - crystal system = tetragonal
# - formation enthalpy at 0 K (eV/atom) = 1.4589
data_BeCd2InIr
_cell_length_a 5.111
_cell_length_b 5.111
_cell_length_c 4.310
_cell_angle_alpha 90.00
_cell_angle_beta 90.00
_cell_angle_gamma 90.00
_space_group_name_H-M_alt 'P 4/m m m'
_space_group_IT_number 123
_space_group_name_Hall '-P 4 2'
loop_
_atom_site_label
_atom_site_type_symbol
_atom_site_fract_x
_atom_site_fract_y
_atom_site_fract_z
Be1 Be 0.000 0.000 0.000
Cd1 Cd 0.000 0.500 0.500
In1 In 0.000 0.000 0.500
Ir1 Ir 0.500 0.500 0.000


# NiRh2Au (SCAN, single point on PBEsol structure)
# - crystal system = orthorhombic
# - formation enthalpy at 0 K (eV/atom) = 0.2470
# - excess energy over the best structure of this formula in the dataset (eV/atom) = 0.160
data_NiRh2Au
_cell_length_a 2.748
_cell_length_b 4.512
_cell_length_c 8.901
_cell_angle_alpha 90.00
_cell_angle_beta 90.00
_cell_angle_gamma 90.00
_space_group_name_H-M_alt 'I m m 2'
_space_group_IT_number 44
loop_
_space_group_symop_operation_xyz
'x,y,z'
'-x,-y,z'
'-x,y,z'
'x,-y,z'
'x+1/2,y+1/2,z+1/2'
'-x+1/2,-y+1/2,z+1/2'
'-x+1/2,y+1/2,z+1/2'
'x+1/2,-y+1/2,z+1/2'
loop_
_atom_site_label
_atom_site_type_symbol
_atom_site_fract_x
_atom_site_fract_y
_atom_site_fract_z
Ni1 Ni 0.000 0.000 0.000
Rh1 Rh 0.000 0.000 0.484
Rh2 Rh 0.000 0.500 0.734
Au1 Au 0.000 0.500 0.253


# DyMoC2 (SCAN, single point on PBEsol structure)
# - crystal system = orthorhombic
# - formation enthalpy at 0 K (eV/atom) = -0.3383
data_DyMoC2
_cell_length_a 5.639
_cell_length_b 3.359
_cell_length_c 10.664
_cell_angle_alpha 90.00
_cell_angle_beta 90.00
_cell_angle_gamma 90.00
_space_group_name_H-M_alt 'P n m a'
_space_group_IT_number 62
loop_
_space_group_symop_operation_xyz
'x,y,z'
'-x,-y,-z'
'-x+1/2,-y,z+1/2'
'x+1/2,y,-z+1/2'
'x+1/2,-y+1/2,-z+1/2'
'-x+1/2,y+1/2,z+1/2'
'-x,y+1/2,-z'
'x,-y+1/2,z'
loop_
_atom_site_label
_atom_site_type_symbol
_atom_site_fract_x
_atom_site_fract_y
_atom_site_fract_z
Dy1 Dy 0.086 0.250 0.138
Mo1 Mo 0.096 0.750 0.391
C1 C 0.159 0.250 0.752
C2 C 0.224 0.250 0.485


# LaCdAsSe2 (SCAN, single point on PBEsol structure)
# - E_form (uncorrected) (kJ/mol of atoms) = -48
# - crystal system = tetragonal
data_LaCdAsSe2
_cell_length_a 5.116
_cell_length_b 5.116
_cell_length_c 5.003
_cell_angle_alpha 90.00
_cell_angle_beta 90.00
_cell_angle_gamma 90.00
_space_group_name_H-M_alt 'P 4/m m m'
_space_group_IT_number 123
_space_group_name_Hall '-P 4 2'
loop_
_atom_site_label
_atom_site_type_symbol
_atom_site_fract_x
_atom_site_fract_y
_atom_site_fract_z
La1 La 0.000 0.000 0.000
Cd1 Cd 0.500 0.500 0.500
As1 As 0.500 0.500 0.000
Se1 Se 0.000 0.500 0.500


# TlCrI2N (SCAN, single point on PBEsol structure)
# - E_form (uncorrected) (kJ/mol of atoms) = -19
# - crystal system = tetragonal
data_TlCrI2N
_cell_length_a 5.735
_cell_length_b 5.735
_cell_length_c 3.655
_cell_angle_alpha 90.00
_cell_angle_beta 90.00
_cell_angle_gamma 90.00
_space_group_name_H-M_alt 'P 4/m m m'
_space_group_IT_number 123
_space_group_name_Hall '-P 4 2'
loop_
_atom_site_label
_atom_site_type_symbol
_atom_site_fract_x
_atom_site_fract_y
_atom_site_fract_z
Tl1 Tl 0.000 0.000 0.000
Cr1 Cr 0.500 0.500 0.500
I1 I 0.000 0.500 0.500
N1 N 0.500 0.500 0.000


# TeAs2Cl (SCAN, single point on PBEsol structure)
# - E_form (uncorrected) (kJ/mol of atoms) = 5
# - crystal system = monoclinic
# - excess energy over the best structure of this formula in the dataset (eV/atom) = 0.000
data_TeAs2Cl
_cell_length_a 9.714
_cell_length_b 3.615
_cell_length_c 7.201
_cell_angle_alpha 90.00
_cell_angle_beta 122.83
_cell_angle_gamma 90.00
_space_group_name_H-M_alt 'C 1 2/m 1'
_space_group_IT_number 12
loop_
_space_group_symop_operation_xyz
'x,y,z'
'-x,-y,-z'
'-x,y,-z'
'x,-y,z'
'x+1/2,y+1/2,z'
'-x+1/2,-y+1/2,-z'
'-x+1/2,y+1/2,-z'
'x+1/2,-y+1/2,z'
loop_
_atom_site_label
_atom_site_type_symbol
_atom_site_fract_x
_atom_site_fract_y
_atom_site_fract_z
Te1 Te 0.000 0.000 0.000
As1 As 0.213 0.000 0.841
Cl1 Cl 0.000 0.500 0.500


# BeZnF2 (SCAN, single point on PBEsol structure)
# - E_form (uncorrected) (kJ/mol of atoms) = -220
# - crystal system = trigonal
# - excess energy over the best structure of this formula in the dataset (eV/atom) = 0.000
data_BeZnF2
_cell_length_a 2.5658
_cell_length_b 2.5658
_cell_length_c 25.8266
_cell_angle_alpha 90.00
_cell_angle_beta 90.00
_cell_angle_gamma 120.00
_space_group_name_H-M_alt 'R -3 m'
_space_group_IT_number 166
_space_group_name_Hall '-R 3 2"'
loop_
_atom_site_label
_atom_site_type_symbol
_atom_site_fract_x
_atom_site_fract_y
_atom_site_fract_z
Be1 Be 0.0000 0.0000 0.0000
Zn1 Zn 0.0000 0.0000 0.5000
F1 F 0.0000 0.0000 0.3684